No. 1
An optimized crystal structure of NdThZnTc, computed with PBE.

Computed properties:
- crystal system = cubic
- ΔE_f (eV per atom) = -0.052
- total moment (μB/f.u.) = 0.0

a b c (Å): 7.2216 7.2216 7.2216
angles (deg): 90.00 90.00 90.00
Positions (direct):
Nd: 0.0000 0.0000 0.0000
Nd: 0.0000 0.5000 0.5000
Nd: 0.5000 0.0000 0.5000
Nd: 0.5000 0.5000 0.0000
Th: 0.0000 0.0000 0.5000
Th: 0.0000 0.5000 0.0000
Th: 0.5000 0.0000 0.0000
Th: 0.5000 0.5000 0.5000
Zn: 0.2500 0.2500 0.2500
Zn: 0.2500 0.7500 0.7500
Zn: 0.7500 0.2500 0.7500
Zn: 0.7500 0.7500 0.2500
Tc: 0.2500 0.2500 0.7500
Tc: 0.2500 0.7500 0.2500
Tc: 0.7500 0.2500 0.2500
Tc: 0.7500 0.7500 0.7500


No. 2
An optimized crystal structure of NaSnBiS3, computed with PBE.

Computed properties:
- E_tot (eV/atom) = -4.21
- crystal system = monoclinic
- total moment (μB/f.u.) = 0.0

a b c (Å): 7.0052 3.9835 11.7767
angles (deg): 90.00 104.98 90.00
Positions (direct):
Na: 0.0650 0.2500 0.1662
Na: 0.9350 0.7500 0.8338
Sn: 0.3175 0.2500 0.5521
Sn: 0.6825 0.7500 0.4479
Bi: 0.4438 0.7500 0.8513
Bi: 0.5562 0.2500 0.1487
S: 0.1423 0.7500 0.6350
S: 0.2349 0.2500 0.9462
S: 0.3764 0.7500 0.2552
S: 0.6236 0.2500 0.7448
S: 0.7651 0.7500 0.0538
S: 0.8577 0.2500 0.3650


No. 3
An optimized crystal structure of Na2Li2Sn, computed with PBE.

Computed properties:
- crystal system = orthorhombic
- ΔE_f (eV per atom) = -0.186
- total moment (μB/f.u.) = 0.0
- energy relative to the lowest polymorph listed for this composition (kJ/mol of atoms) = 0.00

a b c (Å): 8.9805 8.9805 5.0758
angles (deg): 90.00 90.00 145.27
Positions (direct):
Na: 0.0559 0.9441 0.5002
Na: 0.1666 0.8334 0.0000
Na: 0.8334 0.1666 0.5000
Na: 0.9441 0.0559 0.0002
Li: 0.2612 0.7388 0.4995
Li: 0.4501 0.5499 0.4986
Li: 0.5499 0.4501 0.9986
Li: 0.7388 0.2612 0.9995
Sn: 0.3561 0.6439 0.9989
Sn: 0.6439 0.3561 0.4989


Q: Which value of total moment does entry 1 give?
A: 0.0 μB/f.u.